{"formula": "Mg2Cd2SiPb", "functional": "PBE", "state": "relaxed", "lattice_angstrom": [[11.636, 0.000, 0.000], [0.000, 4.747, 0.000], [-5.102, 0.000, 10.627]], "species": ["Cd", "Cd", "Cd", "Cd", "Cd", "Cd", "Cd", "Cd", "Mg", "Mg", "Mg", "Mg", "Mg", "Mg", "Mg", "Mg", "Pb", "Pb", "Pb", "Pb", "Si", "Si", "Si", "Si"], "fractional_positions": [[0.366, 0.500, 0.153], [0.806, 0.000, 0.275], [0.989, 0.500, 0.313], [0.520, 0.000, 0.523], [0.905, 0.500, 0.700], [0.308, 0.000, 0.724], [0.615, 0.500, 0.887], [0.987, 0.000, 0.926], [0.094, 0.500, 0.121], [0.544, 0.000, 0.284], [0.802, 0.500, 0.431], [0.203, 0.000, 0.432], [0.642, 0.500, 0.658], [0.034, 0.000, 0.684], [0.363, 0.500, 0.889], [0.776, 0.000, 0.995], [0.624, 0.500, 0.143], [0.356, 0.500, 0.400], [0.134, 0.500, 0.597], [0.260, 0.000, 0.980], [0.005, 0.000, 0.199], [0.762, 0.000, 0.524], [0.545, 0.000, 0.762], [0.860, 0.500, 0.901]], "total_energy_ev_per_atom": -2.23, "volume_a3_per_atom": 24.46}

{"formula": "Mg2Cd2SnPb", "functional": "PBE", "state": "relaxed", "lattice_angstrom": [[11.864, 0.000, 0.000], [0.000, 4.843, 0.000], [-3.926, 0.000, 11.197]], "species": ["Cd", "Cd", "Cd", "Cd", "Cd", "Cd", "Cd", "Cd", "Mg", "Mg", "Mg", "Mg", "Mg", "Mg", "Mg", "Mg", "Pb", "Pb", "Pb", "Pb", "Sn", "Sn", "Sn", "Sn"], "fractional_positions": [[0.002, 0.000, 0.008], [0.373, 0.500, 0.129], [0.745, 0.000, 0.244], [0.128, 0.500, 0.373], [0.494, 0.000, 0.495], [0.874, 0.500, 0.625], [0.252, 0.000, 0.746], [0.631, 0.500, 0.880], [0.250, 0.000, 0.001], [0.621, 0.500, 0.125], [0.000, 0.000, 0.253], [0.374, 0.500, 0.374], [0.746, 0.000, 0.496], [0.126, 0.500, 0.621], [0.504, 0.000, 0.751], [0.879, 0.500, 0.880], [0.875, 0.500, 0.374], [0.623, 0.500, 0.625], [0.002, 0.000, 0.753], [0.377, 0.500, 0.876], [0.125, 0.500, 0.125], [0.499, 0.000, 0.249], [0.248, 0.000, 0.498], [0.752, 0.000, 0.000]], "total_energy_ev_per_atom": -2.10, "volume_a3_per_atom": 26.80}

{"formula": "SrMgCdPb2", "functional": "PBE", "state": "relaxed", "lattice_angstrom": [[-0.295, 1.476, -4.670], [-3.870, -2.938, -0.684], [-7.773, 9.429, 3.472]], "species": ["Cd", "Cd", "Mg", "Mg", "Pb", "Pb", "Pb", "Pb", "Sr", "Sr"], "fractional_positions": [[0.000, 0.500, 0.357], [0.500, 0.000, 0.643], [0.000, 0.000, 0.000], [0.500, 0.500, 0.000], [0.000, 0.500, 0.132], [0.000, 0.000, 0.500], [0.500, 0.500, 0.500], [0.500, 0.000, 0.868], [0.500, 0.000, 0.250], [0.000, 0.500, 0.750]], "total_energy_ev_per_atom": -2.60, "volume_a3_per_atom": 30.59}

{"formula": "Mg2ZnCdPb2", "functional": "PBE", "state": "relaxed", "lattice_angstrom": [[8.349, 0.000, 0.000], [0.000, 4.789, 0.000], [-2.580, 0.000, 15.694]], "species": ["Cd", "Cd", "Cd", "Cd", "Mg", "Mg", "Mg", "Mg", "Mg", "Mg", "Mg", "Mg", "Pb", "Pb", "Pb", "Pb", "Pb", "Pb", "Pb", "Pb", "Zn", "Zn", "Zn", "Zn"], "fractional_positions": [[0.248, 0.500, 0.253], [0.754, 0.000, 0.254], [0.750, 0.500, 0.748], [0.499, 0.500, 0.996], [0.180, 0.500, 0.060], [0.696, 0.000, 0.061], [0.439, 0.000, 0.320], [0.941, 0.500, 0.322], [0.685, 0.500, 0.558], [0.186, 0.000, 0.562], [0.425, 0.500, 0.805], [0.945, 0.000, 0.812], [0.062, 0.000, 0.180], [0.562, 0.500, 0.187], [0.315, 0.500, 0.446], [0.818, 0.000, 0.447], [0.550, 0.000, 0.684], [0.070, 0.500, 0.685], [0.301, 0.000, 0.930], [0.825, 0.500, 0.939], [0.499, 0.000, 0.502], [0.003, 0.500, 0.504], [0.246, 0.000, 0.747], [0.002, 0.000, 0.997]], "total_energy_ev_per_atom": -2.08, "volume_a3_per_atom": 26.15}

Please write out number 4 again, unchanged.
{"formula": "Mg2ZnCdPb2", "functional": "PBE", "state": "relaxed", "lattice_angstrom": [[8.349, 0.000, 0.000], [0.000, 4.789, 0.000], [-2.580, 0.000, 15.694]], "species": ["Cd", "Cd", "Cd", "Cd", "Mg", "Mg", "Mg", "Mg", "Mg", "Mg", "Mg", "Mg", "Pb", "Pb", "Pb", "Pb", "Pb", "Pb", "Pb", "Pb", "Zn", "Zn", "Zn", "Zn"], "fractional_positions": [[0.248, 0.500, 0.253], [0.754, 0.000, 0.254], [0.750, 0.500, 0.748], [0.499, 0.500, 0.996], [0.180, 0.500, 0.060], [0.696, 0.000, 0.061], [0.439, 0.000, 0.320], [0.941, 0.500, 0.322], [0.685, 0.500, 0.558], [0.186, 0.000, 0.562], [0.425, 0.500, 0.805], [0.945, 0.000, 0.812], [0.062, 0.000, 0.180], [0.562, 0.500, 0.187], [0.315, 0.500, 0.446], [0.818, 0.000, 0.447], [0.550, 0.000, 0.684], [0.070, 0.500, 0.685], [0.301, 0.000, 0.930], [0.825, 0.500, 0.939], [0.499, 0.000, 0.502], [0.003, 0.500, 0.504], [0.246, 0.000, 0.747], [0.002, 0.000, 0.997]], "total_energy_ev_per_atom": -2.08, "volume_a3_per_atom": 26.15}